Density functional theory data (GGA-PBE) for crystalline Er4TmLu at its relaxed geometry.

Values from the calculation:
DOS at the Fermi energy, states/eV/f.u.: 8.484
Total DFT energy (no corrections), eV/f.u.: -25.7

abc: 6.4470 6.4470 6.4470
angles: 60.00 60.00 60.00
Atoms (fractional coordinates):
Er1 0.1250 0.1250 0.1250
Er2 0.1250 0.1250 0.6249
Er3 0.1250 0.6249 0.1250
Er4 0.6249 0.1250 0.1250
Tm1 0.5000 0.5000 0.5000
Lu1 0.7500 0.7500 0.7500

***

Density functional theory data (GGA-PBE) for crystalline ErTmLu2 at its relaxed geometry.

Values from the calculation:
E above lowest polymorph, meV/atom: 0
DOS at the Fermi energy, states/eV/f.u.: 5.312
Total DFT energy (no corrections), eV/f.u.: -18.0

abc: 3.4713 3.4713 9.8180
angles: 90.00 90.00 90.00
Atoms (fractional coordinates):
Er1 0.0000 0.0000 0.0000
Tm1 0.0000 0.0000 0.5000
Lu1 0.5000 0.5000 0.2505
Lu2 0.5000 0.5000 0.7495

***

Density functional theory data (GGA-PBE) for crystalline Er2TmLu at its relaxed geometry.

Values from the calculation:
E above lowest polymorph, meV/atom: 1
DOS at the Fermi energy, states/eV/f.u.: 5.973
Total DFT energy (no corrections), eV/f.u.: -18.0

abc: 4.9259 4.9259 4.9203
angles: 90.00 90.00 90.00
Atoms (fractional coordinates):
Er1 0.0000 0.5000 0.0000
Er2 0.5000 0.0000 0.0000
Tm1 0.0000 0.0000 0.5000
Lu1 0.5000 0.5000 0.5000

***

Density functional theory data (GGA-PBE) for crystalline ErTmLu2 at its relaxed geometry.

Values from the calculation:
E above lowest polymorph, meV/atom: 2
DOS at the Fermi energy, states/eV/f.u.: 6.410
Total DFT energy (no corrections), eV/f.u.: -17.9

abc: 4.9112 4.9112 4.9021
angles: 90.00 90.00 90.00
Atoms (fractional coordinates):
Er1 0.0000 0.0000 0.0000
Tm1 0.5000 0.5000 0.0000
Lu1 0.0000 0.5000 0.5000
Lu2 0.5000 0.0000 0.5000

***

Density functional theory data (GGA-PBE) for crystalline Er2TmLu at its relaxed geometry.

Values from the calculation:
E above lowest polymorph, meV/atom: 0
DOS at the Fermi energy, states/eV/f.u.: 5.261
Total DFT energy (no corrections), eV/f.u.: -18.0

abc: 3.4823 3.4823 9.8546
angles: 90.00 90.00 90.00
Atoms (fractional coordinates):
Er1 0.0000 0.0000 0.2492
Er2 0.0000 0.0000 0.7508
Tm1 0.5000 0.5000 0.5000
Lu1 0.5000 0.5000 0.0000

***

Density functional theory data (GGA-PBE) for crystalline ErTmLu2 at its relaxed geometry.

Values from the calculation:
E above lowest polymorph, meV/atom: 3
DOS at the Fermi energy, states/eV/f.u.: 6.382
Total DFT energy (no corrections), eV/f.u.: -17.9

abc: 3.4740 3.4740 33.9284
angles: 90.00 90.00 120.00
Atoms (fractional coordinates):
Er1 0.0000 0.0000 0.0000
Er2 0.3333 0.6667 0.6667
Er3 0.6667 0.3333 0.3333
Tm1 0.0000 0.0000 0.5000
Tm2 0.3333 0.6667 0.1667
Tm3 0.6667 0.3333 0.8333
Lu1 0.0000 0.0000 0.2498
Lu2 0.0000 0.0000 0.7502
Lu3 0.3333 0.6667 0.4168
Lu4 0.3333 0.6667 0.9165
Lu5 0.6667 0.3333 0.0835
Lu6 0.6667 0.3333 0.5832

***

Density functional theory data (GGA-PBE) for crystalline Er2TmLu at its relaxed geometry.

Values from the calculation:
E above lowest polymorph, meV/atom: 109
DOS at the Fermi energy, states/eV/f.u.: 9.729
Total DFT energy (no corrections), eV/f.u.: -17.6

abc: 7.8683 7.8683 7.8683
angles: 90.00 90.00 90.00
Atoms (fractional coordinates):
Er1 0.2500 0.2500 0.2500
Er2 0.2500 0.2500 0.7500
Er3 0.2500 0.7500 0.2500
Er4 0.2500 0.7500 0.7500
Er5 0.7500 0.2500 0.2500
Er6 0.7500 0.2500 0.7500
Er7 0.7500 0.7500 0.2500
Er8 0.7500 0.7500 0.7500
Tm1 0.0000 0.0000 0.0000
Tm2 0.0000 0.5000 0.5000
Tm3 0.5000 0.0000 0.5000
Tm4 0.5000 0.5000 0.0000
Lu1 0.0000 0.0000 0.5000
Lu2 0.0000 0.5000 0.0000
Lu3 0.5000 0.0000 0.0000
Lu4 0.5000 0.5000 0.5000

***

Density functional theory data (GGA-PBE) for crystalline YErTmLu at its relaxed geometry.

Values from the calculation:
DOS at the Fermi energy, states/eV/f.u.: 9.760
Total DFT energy (no corrections), eV/f.u.: -19.5

abc: 7.9229 7.9229 7.9229
angles: 90.00 90.00 90.00
Atoms (fractional coordinates):
Y1 0.0000 0.0000 0.0000
Y2 0.0000 0.5000 0.5000
Y3 0.5000 0.0000 0.5000
Y4 0.5000 0.5000 0.0000
Er1 0.0000 0.0000 0.5000
Er2 0.0000 0.5000 0.0000
Er3 0.5000 0.0000 0.0000
Er4 0.5000 0.5000 0.5000
Tm1 0.2500 0.2500 0.7500
Tm2 0.2500 0.7500 0.2500
Tm3 0.7500 0.2500 0.2500
Tm4 0.7500 0.7500 0.7500
Lu1 0.2500 0.2500 0.2500
Lu2 0.2500 0.7500 0.7500
Lu3 0.7500 0.2500 0.7500
Lu4 0.7500 0.7500 0.2500

***

Density functional theory data (GGA-PBE) for crystalline ErTmLuZn at its relaxed geometry.

Values from the calculation:
DOS at the Fermi energy, states/eV/f.u.: 4.048
Total DFT energy (no corrections), eV/f.u.: -14.7

abc: 7.4228 7.4228 7.4228
angles: 90.00 90.00 90.00
Atoms (fractional coordinates):
Er1 0.0000 0.0000 0.0000
Er2 0.0000 0.5000 0.5000
Er3 0.5000 0.0000 0.5000
Er4 0.5000 0.5000 0.0000
Tm1 0.0000 0.0000 0.5000
Tm2 0.0000 0.5000 0.0000
Tm3 0.5000 0.0000 0.0000
Tm4 0.5000 0.5000 0.5000
Lu1 0.2500 0.2500 0.2500
Lu2 0.2500 0.7500 0.7500
Lu3 0.7500 0.2500 0.7500
Lu4 0.7500 0.7500 0.2500
Zn1 0.2500 0.2500 0.7500
Zn2 0.2500 0.7500 0.2500
Zn3 0.7500 0.2500 0.2500
Zn4 0.7500 0.7500 0.7500

***

Density functional theory data (GGA-PBE) for crystalline ErTmLuZr at its relaxed geometry.

Values from the calculation:
DOS at the Fermi energy, states/eV/f.u.: 6.887
Total DFT energy (no corrections), eV/f.u.: -21.3

abc: 7.6734 7.6734 7.6734
angles: 90.00 90.00 90.00
Atoms (fractional coordinates):
Er1 0.0000 0.0000 0.0000
Er2 0.0000 0.5000 0.5000
Er3 0.5000 0.0000 0.5000
Er4 0.5000 0.5000 0.0000
Tm1 0.2500 0.2500 0.7500
Tm2 0.2500 0.7500 0.2500
Tm3 0.7500 0.2500 0.2500
Tm4 0.7500 0.7500 0.7500
Lu1 0.2500 0.2500 0.2500
Lu2 0.2500 0.7500 0.7500
Lu3 0.7500 0.2500 0.7500
Lu4 0.7500 0.7500 0.2500
Zr1 0.0000 0.0000 0.5000
Zr2 0.0000 0.5000 0.0000
Zr3 0.5000 0.0000 0.0000
Zr4 0.5000 0.5000 0.5000

***

Density functional theory data (GGA-PBE) for crystalline ErLu2V at its relaxed geometry.

Values from the calculation:
E above lowest polymorph, meV/atom: 0
DOS at the Fermi energy, states/eV/f.u.: 4.969
Total DFT energy (no corrections), eV/f.u.: -22.0

abc: 3.5318 3.5318 8.3591
angles: 90.00 90.00 90.00
Atoms (fractional coordinates):
Er1 0.0000 0.0000 0.0000
Lu1 0.5000 0.5000 0.2994
Lu2 0.5000 0.5000 0.7006
V1 0.0000 0.0000 0.5000

***

Density functional theory data (GGA-PBE) for crystalline ErLuV4 at its relaxed geometry.

Values from the calculation:
DOS at the Fermi energy, states/eV/f.u.: 18.115
Total DFT energy (no corrections), eV/f.u.: -43.6

abc: 5.3588 5.3588 5.3588
angles: 60.00 60.00 60.00
Atoms (fractional coordinates):
Er1 0.0000 0.0000 0.0000
Lu1 0.2500 0.2500 0.2500
V1 0.1151 0.6283 0.6283
V2 0.6283 0.1151 0.6283
V3 0.6283 0.6283 0.1151
V4 0.6283 0.6283 0.6283